{
  "formula": "ZnC",
  "functional": "PBE-GGA",
  "state": "optimized geometry",
  "sg": "P-6m2, No. 187",
  "lattice_angstrom": [[-1.2601, 2.4613, 1.8408], [-1.1070, -0.4955, -3.0925], [-1.6438, -1.4562, 0.8217]],
  "species": ["C", "Zn"],
  "frac_coords": [[0.0000, 0.0000, 0.0000], [0.6667, 0.3333, 0.5000]]
}


{
  "formula": "ZnC",
  "functional": "PBE-GGA",
  "state": "optimized geometry",
  "sg": "Pbca, No. 61",
  "lattice_angstrom": [[6.2274, 0.0000, 0.0000], [0.0000, 5.7474, 0.0000], [0.0000, 0.0000, 5.7593]],
  "species": ["C", "C", "C", "C", "C", "C", "C", "C", "Zn", "Zn", "Zn", "Zn", "Zn", "Zn", "Zn", "Zn"],
  "frac_coords": [[0.5790, 0.5676, 0.5439], [0.9210, 0.4324, 0.0439], [0.5790, 0.9324, 0.0439], [0.4210, 0.4324, 0.4561], [0.9210, 0.0676, 0.5439], [0.4210, 0.0676, 0.9561], [0.0790, 0.5676, 0.9561], [0.0790, 0.9324, 0.4561], [0.6541, 0.6147, 0.8891], [0.8459, 0.1147, 0.8891], [0.3459, 0.1147, 0.6109], [0.8459, 0.3853, 0.3891], [0.1541, 0.8853, 0.1109], [0.3459, 0.3853, 0.1109], [0.1541, 0.6147, 0.6109], [0.6541, 0.8853, 0.3891]]
}


{
  "formula": "Zn4C3",
  "functional": "PBE-GGA",
  "state": "optimized geometry",
  "sg": "P6/mmm, No. 191",
  "lattice_angstrom": [[1.9020, -3.2944, 0.0000], [1.9020, 3.2944, 0.0000], [0.0000, 0.0000, 7.0143]],
  "species": ["Zn", "Zn", "Zn", "Zn", "C", "C", "C"],
  "frac_coords": [[0.0000, 0.0000, 0.2324], [0.0000, 0.0000, 0.7676], [0.3333, 0.6667, 0.5000], [0.6667, 0.3333, 0.5000], [0.5000, 0.5000, 0.0000], [0.5000, 0.0000, 0.0000], [0.0000, 0.5000, 0.0000]]
}


{
  "formula": "ZnC2",
  "functional": "PBE-GGA",
  "state": "optimized geometry",
  "sg": "Imma, No. 74",
  "lattice_angstrom": [[4.1743, -3.7920, 1.9281], [-0.2295, 2.0041, 5.6082], [-1.9177, -3.0674, -4.7365]],
  "species": ["C", "C", "C", "C", "Zn", "Zn"],
  "frac_coords": [[0.0437, 0.7937, 0.2500], [0.7994, 0.0494, 0.7500], [0.9563, 0.2063, 0.7500], [0.2006, 0.9506, 0.2500], [0.3724, 0.6224, 0.7500], [0.6276, 0.3776, 0.2500]]
}


| no. | E_form (eV/atom) |
| --- | --- |
| 1 | 1.6268 |
| 2 | 0.8100 |
| 3 | 1.7185 |
| 4 | 0.9320 |